A plane-wave DFT calculation with PBE was carried out for an optimized crystal structure of NbIn2PdPb.

Geometry as CIF:
```
data_NbIn2PdPb
_chemical_formula_sum 'Nb1 In2 Pd1 Pb1'
_cell_length_a 5.072
_cell_length_b 5.134
_cell_length_c 5.072
_cell_angle_alpha 90.00
_cell_angle_beta 90.00
_cell_angle_gamma 90.00
_symmetry_space_group_name_H-M 'P 1'
_symmetry_Int_Tables_number 1
_symmetry_space_group_name_Hall 'P 1'
loop_
_atom_site_label
_atom_site_fract_x
_atom_site_fract_y
_atom_site_fract_z
Pb1 0.500 0.500 0.500
Nb1 0.000 0.500 0.000
Pd1 0.000 0.000 0.000
In1 0.000 0.000 0.500
In2 0.500 0.000 0.000
```

Summary:
**Crystal system**: tetragonal
**Density of states at the Fermi level**: 3.16 states/eV per cell
**Symmetry**: P4/mmm
**Energy of formation**: 0.443 eV/atom